First-principles (PBE-GGA) data for a relaxed structure of As4C23, as listed in the Alexandria database.

Cell and atoms, written as CIF:
```
data_As4C23
_chemical_formula_sum 'As8 C46'
_cell_length_a 7.435
_cell_length_b 7.435
_cell_length_c 7.435
_cell_angle_alpha 90.00
_cell_angle_beta 90.00
_cell_angle_gamma 90.00
_symmetry_space_group_name_H-M 'P m -3 n'
_symmetry_Int_Tables_number 223
_symmetry_space_group_name_Hall '-P 4n 2 3'
loop_
_atom_site_label
_atom_site_type_symbol
_atom_site_fract_x
_atom_site_fract_y
_atom_site_fract_z
As1 As 0.000 0.000 0.000
As2 As 0.000 0.250 0.500
C1 C 0.000 0.271 0.225
C2 C 0.000 0.500 0.250
C3 C 0.184 0.184 0.184
```

## Properties
Energy relative to the elements, meV per atom: 1392


First-principles (PBE-GGA) data for a relaxed structure of NpMnSi2Tc, as listed in the Alexandria database.

Cell and atoms, written as CIF:
```
data_NpMnSi2Tc
_chemical_formula_sum 'Np2 Mn2 Si4 Tc2'
_cell_length_a 3.962
_cell_length_b 3.962
_cell_length_c 10.441
_cell_angle_alpha 90.00
_cell_angle_beta 90.00
_cell_angle_gamma 90.00
_symmetry_space_group_name_H-M 'I -4 m 2'
_symmetry_Int_Tables_number 119
_symmetry_space_group_name_Hall 'I -4 -2'
loop_
_atom_site_label
_atom_site_type_symbol
_atom_site_fract_x
_atom_site_fract_y
_atom_site_fract_z
Np1 Np 0.000 0.000 0.000
Mn1 Mn 0.000 0.500 0.750
Si1 Si 0.000 0.000 0.385
Tc1 Tc 0.000 0.500 0.250
```

## Properties
ΔE_f (raw), kcal/mol of atoms: -8.01


First-principles (PBE-GGA) data for a relaxed structure of HoInPdPt, as listed in the Alexandria database.

Cell and atoms, written as CIF:
```
data_HoInPdPt
_chemical_formula_sum 'Ho4 In4 Pd4 Pt4'
_cell_length_a 6.772
_cell_length_b 6.772
_cell_length_c 6.772
_cell_angle_alpha 90.00
_cell_angle_beta 90.00
_cell_angle_gamma 90.00
_symmetry_space_group_name_H-M 'F -4 3 m'
_symmetry_Int_Tables_number 216
_symmetry_space_group_name_Hall 'F -4 2 3'
loop_
_atom_site_label
_atom_site_type_symbol
_atom_site_fract_x
_atom_site_fract_y
_atom_site_fract_z
Ho1 Ho 0.000 0.000 0.000
In1 In 0.000 0.000 0.500
Pd1 Pd 0.250 0.250 0.250
Pt1 Pt 0.250 0.250 0.750
```

## Properties
Energy relative to the elements, meV per atom: -898


Question: Which formula does entry 2 have?
Answer: NpMnSi2Tc


Question: What is the formula in the first record?
Answer: As4C23